# 1
Entry from Alexandria: a relaxed NaSmCdSn crystal (PBE).

Structure (extended XYZ):
```
4
Lattice="0.000 3.764 3.764 3.764 0.000 3.764 3.764 3.764 0.000" Properties=species:S:1:pos:R:3 pbc="T T T"
Na 0.000 0.000 0.000
Sm 3.764 3.764 3.764
Cd 1.882 1.882 1.882
Sn 5.647 5.647 5.647
```

## Properties
E   -12.42 eV per formula unit
Total moment   0.00 μB/f.u.
Symmetry   F-43m
Polymorph energy (0 for the lowest one)   0.02 eV per formula unit
Formation energy   -367 meV per atom

# 2
Entry from Alexandria: a relaxed Mn2NbS crystal (PBE).

Structure (extended XYZ):
```
8
Lattice="-3.343 3.343 2.498 3.343 -3.343 2.498 3.343 3.343 -2.498" Properties=species:S:1:pos:R:3 pbc="T T T"
Mn 5.015 1.115 -0.624
Mn 1.115 1.672 0.624
Mn -1.672 2.228 1.873
Mn 2.228 1.672 3.122
Nb 3.343 0.000 1.249
Nb 0.000 0.000 2.498
S 0.000 0.000 0.000
S 0.000 3.343 1.249
```

## Properties
E   -31.97 eV per formula unit
Total moment   0.02 μB/f.u.
E_form (uncorrected)   0.1414 eV per atom
Symmetry   I-42d

# 3
Entry from Alexandria: a relaxed TlHgTeAu2 crystal (PBE).

Structure (extended XYZ):
```
5
Lattice="5.259 0.000 0.000 0.000 5.259 0.000 0.000 0.000 5.743" Properties=species:S:1:pos:R:3 pbc="T T T"
Tl 0.000 0.000 0.000
Hg 0.000 0.000 2.872
Te 2.629 2.629 0.000
Au 0.000 2.629 2.872
Au 2.629 0.000 2.872
```

## Properties
E   -9.90 eV per formula unit
Total moment   0.00 μB/f.u.
E_form (uncorrected)   0.4929 eV per atom
Symmetry   P4/mmm